# VPO5 | the Alexandria database | PBE+U | relaxed
# * V: 183.4 Å³/cell
# * energy above the most stable polymorph in this dataset: 11 kJ/mol of formula units
# * electronic total energy: -7.363 eV per atom
data_VPO5
_chemical_formula_sum 'V2 P2 O10'
_cell_length_a 5.737
_cell_length_b 5.737
_cell_length_c 6.252
_cell_angle_alpha 79.17
_cell_angle_beta 79.17
_cell_angle_gamma 66.12
_space_group_name_H-M_alt 'P 1'
_space_group_IT_number 1
loop_
_space_group_symop_operation_xyz
'x,y,z'
loop_
_atom_site_label
_atom_site_type_symbol
_atom_site_fract_x
_atom_site_fract_y
_atom_site_fract_z
O1 O 0.845 0.845 0.013
O2 O 0.455 0.853 0.290
O3 O 0.636 0.636 0.779
O4 O 0.143 0.143 0.593
O5 O 0.853 0.455 0.290
O6 O 0.857 0.857 0.407
O7 O 0.545 0.147 0.710
O8 O 0.155 0.155 0.987
O9 O 0.364 0.364 0.221
O10 O 0.147 0.545 0.710
P1 P 0.752 0.752 0.250
P2 P 0.248 0.248 0.750
V1 V 0.806 0.806 0.727
V2 V 0.194 0.194 0.273